(1)
{
  "formula": "Sc2BeZnCu6",
  "functional": "PBE",
  "state": "optimized geometry",
  "spacegroup": "P-1, No. 2",
  "dos_ef_per_ev_fu": 6.73,
  "delta_e_f_ev_per_atom": -0.085,
  "final_energy_ev_per_atom": -4.309,
  "cell": [[4.864, 0.000, 0.000], [2.404, 5.466, 0.000], [2.423, 1.439, 5.440]],
  "species": ["Sc", "Sc", "Be", "Zn", "Cu", "Cu", "Cu", "Cu", "Cu", "Cu"],
  "frac_coords": [[0.013, 0.243, 0.235], [0.987, 0.757, 0.765], [0.500, 0.500, 0.000], [0.500, 0.000, 0.500], [0.011, 0.677, 0.304], [0.317, 0.926, 0.938], [0.492, 0.324, 0.697], [0.508, 0.676, 0.303], [0.683, 0.074, 0.062], [0.989, 0.323, 0.696]]
}

=====

(2)
{
  "formula": "ScBe2ZnCu",
  "functional": "PBE",
  "state": "optimized geometry",
  "spacegroup": "P4/mmm, No. 123",
  "dos_ef_per_ev_fu": 1.96,
  "delta_e_f_ev_per_atom": 0.356,
  "final_energy_ev_per_atom": -3.475,
  "cell": [[4.135, 0.000, 0.000], [0.000, 4.135, 0.000], [0.000, 0.000, 4.429]],
  "species": ["Sc", "Be", "Be", "Zn", "Cu"],
  "frac_coords": [[0.000, 0.000, 0.000], [0.000, 0.500, 0.500], [0.500, 0.000, 0.500], [0.500, 0.500, 0.500], [0.500, 0.500, 0.000]]
}

=====

(3)
{
  "formula": "ScBeZnCu6",
  "functional": "PBE",
  "state": "optimized geometry",
  "spacegroup": "Imma, No. 74",
  "dos_ef_per_ev_fu": 2.55,
  "delta_e_f_ev_per_atom": 0.098,
  "final_energy_ev_per_atom": -3.892,
  "cell": [[-3.047, 4.106, 4.979], [3.047, -4.106, 4.979], [3.047, 4.106, -4.979]],
  "species": ["Sc", "Sc", "Be", "Be", "Zn", "Zn", "Cu", "Cu", "Cu", "Cu", "Cu", "Cu", "Cu", "Cu", "Cu", "Cu", "Cu", "Cu"],
  "frac_coords": [[0.461, 0.211, 0.250], [0.539, 0.789, 0.750], [0.000, 0.000, 0.000], [0.500, 0.000, 0.500], [0.000, 0.000, 0.500], [0.000, 0.500, 0.000], [0.133, 0.422, 0.307], [0.133, 0.826, 0.711], [0.192, 0.942, 0.250], [0.248, 0.498, 0.750], [0.384, 0.174, 0.807], [0.384, 0.578, 0.211], [0.616, 0.422, 0.789], [0.616, 0.826, 0.193], [0.752, 0.502, 0.250], [0.808, 0.058, 0.750], [0.867, 0.174, 0.289], [0.867, 0.578, 0.693]]
}

=====

Per-record volume, Å³/cell: 145, 76, 249